ErMgHgSb PBE relaxed; total energy = -12.09 eV/cell; formation energy without anion corrections = -0.377 eV per atom
1.0
-3.736 2.932 2.118
-4.971 -0.777 -1.311
-3.301 -2.079 3.438
Mg Hg Sb Er
1 1 1 1
direct
0.750 0.750 0.750
0.500 0.500 0.500
0.000 0.000 0.000
0.250 0.250 0.250



PrMnNiP2 PBE relaxed; formation energy = -0.917 eV per atom; total energy = -35.14 eV/cell
1.0
3.757 0.000 0.000
0.000 3.757 0.000
-1.878 -1.878 5.668
Ni P Mn Pr
1 2 1 1
direct
0.750 0.250 0.500
0.357 0.357 0.715
0.643 0.643 0.285
0.250 0.750 0.500
0.000 0.000 0.000



Ti5CrFe4 PBE relaxed; formation energy = -0.322 eV per atom; total energy = -86.16 eV/cell
1.0
-1.024 -1.805 2.112
2.618 0.125 1.377
-4.690 11.835 7.841
Fe Cr Ti
4 1 5
direct
0.000 0.000 0.795
0.000 0.000 0.402
0.000 0.000 0.598
0.000 0.000 0.205
0.000 0.000 0.000
0.500 0.500 0.896
0.500 0.500 0.104
0.500 0.500 0.500
0.500 0.500 0.698
0.500 0.500 0.302



Li2SnHgF8 PBE relaxed; total energy = -51.70 eV/cell; formation energy without anion corrections = -2.383 eV per atom
1.0
-2.815 2.460 -2.974
-1.755 -4.084 -1.749
-5.166 0.082 4.906
F Hg Sn Li
8 1 1 2
direct
0.708 0.707 0.002
0.312 0.312 0.500
0.793 0.207 0.794
0.292 0.293 0.998
0.207 0.794 0.794
0.207 0.793 0.206
0.688 0.688 0.500
0.793 0.206 0.206
0.000 0.000 0.500
0.000 0.000 0.000
0.502 0.502 0.259
0.498 0.498 0.741



What did the first record say?
ErMgHgSb PBE relaxed; total energy = -12.09 eV/cell; formation energy without anion corrections = -0.377 eV per atom
1.0
-3.736 2.932 2.118
-4.971 -0.777 -1.311
-3.301 -2.079 3.438
Mg Hg Sb Er
1 1 1 1
direct
0.750 0.750 0.750
0.500 0.500 0.500
0.000 0.000 0.000
0.250 0.250 0.250



Look up the total energy of the first one. -12.09 eV/cell



What is the formula in the fourth record? Li2SnHgF8